No. 1
# PBE-GGA CuF, relaxed
# Calculated volume = 415 Å³ per cell
# Total DFT energy (no corrections) = -3.939 eV per atom
data_CuF
_symmetry_space_group_name_H-M 'F d d d'
_symmetry_Int_Tables_number 70
_cell_length_a 6.221
_cell_length_b 7.197
_cell_length_c 9.262
_cell_angle_alpha 90.00
_cell_angle_beta 90.00
_cell_angle_gamma 90.00
loop_
_symmetry_equiv_pos_as_xyz
'x,y,z'
'-x,-y,-z'
'-x+1/4,-y+1/4,z'
'x+1/4,y+1/4,-z'
'x,-y+1/4,-z+1/4'
'-x,y+1/4,z+1/4'
'-x+1/4,y,-z+1/4'
'x+1/4,-y,z+1/4'
'x,y+1/2,z+1/2'
'-x,-y+1/2,-z+1/2'
'-x+1/4,-y+3/4,z+1/2'
'x+1/4,y+3/4,-z+1/2'
'x,-y+3/4,-z+3/4'
'-x,y+3/4,z+3/4'
'-x+1/4,y+1/2,-z+3/4'
'x+1/4,-y+1/2,z+3/4'
'x+1/2,y,z+1/2'
'-x+1/2,-y,-z+1/2'
'-x+3/4,-y+1/4,z+1/2'
'x+3/4,y+1/4,-z+1/2'
'x+1/2,-y+1/4,-z+3/4'
'-x+1/2,y+1/4,z+3/4'
'-x+3/4,y,-z+3/4'
'x+3/4,-y,z+3/4'
'x+1/2,y+1/2,z'
'-x+1/2,-y+1/2,-z'
'-x+3/4,-y+3/4,z'
'x+3/4,y+3/4,-z'
'x+1/2,-y+3/4,-z+1/4'
'-x+1/2,y+3/4,z+1/4'
'-x+3/4,y+1/2,-z+1/4'
'x+3/4,-y+1/2,z+1/4'
loop_
_atom_site_label
_atom_site_type_symbol
_atom_site_fract_x
_atom_site_fract_y
_atom_site_fract_z
Cu1 Cu 0.082 0.375 0.375
F1 F 0.125 0.125 0.440

=====

No. 2
# PBE-GGA Cu4F, relaxed
# Calculated volume = 68 Å³ per cell
# Total DFT energy (no corrections) = -3.418 eV per atom
data_Cu4F
_symmetry_space_group_name_H-M 'P m -3 m'
_symmetry_Int_Tables_number 221
_symmetry_space_group_name_Hall '-P 4 2 3'
_cell_length_a 4.078
_cell_length_b 4.078
_cell_length_c 4.078
_cell_angle_alpha 90.00
_cell_angle_beta 90.00
_cell_angle_gamma 90.00
loop_
_atom_site_label
_atom_site_type_symbol
_atom_site_fract_x
_atom_site_fract_y
_atom_site_fract_z
Cu1 Cu 0.000 0.000 0.000
Cu2 Cu 0.000 0.500 0.500
F1 F 0.500 0.500 0.500

=====

No. 3
# PBE-GGA CuF, relaxed
# Calculated volume = 159 Å³ per cell
# Total DFT energy (no corrections) = -3.854 eV per atom
data_CuF
_symmetry_space_group_name_H-M 'P 63/m'
_symmetry_Int_Tables_number 176
_symmetry_space_group_name_Hall '-P 6c'
_cell_length_a 7.8710
_cell_length_b 7.8710
_cell_length_c 2.9588
_cell_angle_alpha 90.00
_cell_angle_beta 90.00
_cell_angle_gamma 120.00
loop_
_atom_site_label
_atom_site_type_symbol
_atom_site_fract_x
_atom_site_fract_y
_atom_site_fract_z
Cu1 Cu 0.0452 0.7579 0.2500
F1 F 0.1198 0.4494 0.2500